Record 1
The following is a SCAN calculation of a PBEsol-optimized structure of Mo5W3, from Alexandria.

Output
- excess energy over the best structure of this formula in the dataset (eV/atom) = 0.000

a b c (Å): 4.4400 5.4288 5.4288
angles (deg): 109.48 90.00 90.00
Closest atoms and distances in Å follow each position.
Element x y z (fractional)
Mo1 0.0000 0.0000 0.0000  8 Mo 2.71-2.72
Mo2 0.5000 0.7504 0.7504  6 W 2.71-2.72, 2 Mo 2.72
Mo3 0.5000 0.2496 0.2496  6 W 2.71-2.72, 2 Mo 2.72
Mo4 0.0000 0.5000 0.0000  6 W 2.71-2.72, 2 Mo 2.71
Mo5 0.0000 0.0000 0.5000  2 Mo 2.71, 6 W 2.71-2.72
W1 0.0000 0.5000 0.5000  8 Mo 2.71-2.72
W2 0.5000 0.7495 0.2505  8 Mo 2.71-2.72
W3 0.5000 0.2505 0.7495  8 Mo 2.71-2.72



Record 2
The following is a SCAN calculation of a PBEsol-optimized structure of ZrTl2P, from Alexandria.

Output
- final energy (eV/cell) = -185.9

a b c (Å): 3.9374 3.9374 5.9930
angles (deg): 90.00 90.00 90.32
Closest atoms and distances in Å follow each position.
Element x y z (fractional)
Tl1 0.7498 0.7498 0.0000  4 Tl 2.77-2.79
Tl2 0.2502 0.2502 0.0000  4 Tl 2.77-2.79
P1 0.0000 0.0000 0.5000  4 Zr 2.78-2.79
Zr1 0.5000 0.5000 0.5000  4 P 2.78-2.79